Tl2CoPb: relaxed, PBE.

Unit cell a=9.7693 b=9.7693 c=9.7693 alpha=20.35 beta=20.35 gamma=20.35
Closest atoms and distances in Å follow each position.
Fractional coordinates of all 4 atoms:
Co 0.2500 0.2500 0.2500  6 Tl 2.73
Pb 0.7500 0.7500 0.7500  6 Pb 3.45, 6 Tl 3.53
Tl 0.9816 0.9816 0.9816  3 Co 2.73
Tl 0.5184 0.5184 0.5184  3 Co 2.73

Values from the calculation:
The value obtained for the excess energy over the best structure of this formula in the dataset is 13.4 kJ per mole of atoms. For the mass density, the calculation gives 11.4 g/cm3. The electronic total energy is -3.450 eV per atom. For the density of states at the Fermi level, the calculation gives 4.83 states/eV/f.u. The value obtained for the volume is 98.7 Å³/cell. As for the space group: R-3m, No. 166. The value obtained for the formation energy is 0.4369 eV per atom.